The following is a PBE calculation of a relaxed structure of Li2InHAu, from Alexandria via LeMat-Bulk.

- Total moment: 0.00 μB/atom
- VASP energy: -0.217 Ry per atom

Unit cell a=4.387 b=4.387 c=3.729 alpha=90.00 beta=90.00 gamma=90.00
Positions (direct):
Li  0.000  0.500  0.000
Li  0.500  0.000  0.000
In  0.000  0.000  0.500
H  0.500  0.500  0.000
Au  0.500  0.500  0.500